No. 1
{"formula": "ZrAlPb2", "functional": "SCAN", "state": "single point on PBEsol structure", "cell": [[0.000, 3.654, 3.654], [3.654, 0.000, 3.654], [3.654, 3.654, 0.000]], "species": ["Zr", "Al", "Pb", "Pb"], "fractional_positions": [[0.000, 0.000, 0.000], [0.250, 0.250, 0.250], [0.500, 0.500, 0.500], [0.750, 0.750, 0.750]], "final_energy_ev_per_atom": -47.208}

***

No. 2
{"formula": "ZrAlPb2", "functional": "SCAN", "state": "single point on PBEsol structure", "cell": [[1.620, 0.935, 10.715], [-1.620, 0.935, 10.715], [0.000, -1.871, 10.715]], "species": ["Zr", "Al", "Pb", "Pb"], "fractional_positions": [[0.000, 0.000, 0.000], [0.737, 0.737, 0.737], [0.252, 0.252, 0.252], [0.485, 0.485, 0.485]], "final_energy_ev_per_atom": -47.461}

***

No. 3
{"formula": "ZrAlPb2", "functional": "SCAN", "state": "single point on PBEsol structure", "cell": [[3.841, 0.000, 0.000], [0.000, 3.841, 0.000], [0.000, 0.000, 6.192]], "species": ["Zr", "Al", "Pb", "Pb"], "fractional_positions": [[0.000, 0.000, 0.000], [0.000, 0.000, 0.500], [0.500, 0.500, 0.252], [0.500, 0.500, 0.748]], "final_energy_ev_per_atom": -47.579}

***

No. 4
{"formula": "AlPd", "functional": "SCAN", "state": "single point on PBEsol structure", "cell": [[4.848, 0.000, 0.000], [0.000, 4.848, 0.000], [0.000, 0.000, 4.848]], "species": ["Al", "Al", "Al", "Al", "Pd", "Pd", "Pd", "Pd"], "fractional_positions": [[0.156, 0.344, 0.656], [0.344, 0.656, 0.156], [0.656, 0.156, 0.344], [0.844, 0.844, 0.844], [0.148, 0.148, 0.148], [0.352, 0.852, 0.648], [0.648, 0.352, 0.852], [0.852, 0.648, 0.352]], "final_energy_ev_per_atom": -21.339}

***

No. 5
{"formula": "Al3Pd2", "functional": "SCAN", "state": "single point on PBEsol structure", "cell": [[4.198, 0.000, 0.000], [-2.099, 3.636, 0.000], [0.000, 0.000, 5.160]], "species": ["Al", "Al", "Al", "Pd", "Pd"], "fractional_positions": [[0.000, 0.000, 0.000], [0.333, 0.667, 0.645], [0.667, 0.333, 0.355], [0.333, 0.667, 0.156], [0.667, 0.333, 0.844]], "final_energy_ev_per_atom": -18.701}

***

No. 6
{"formula": "Al21Pd8", "functional": "SCAN", "state": "single point on PBEsol structure", "cell": [[-6.478, 6.478, 5.328], [6.478, -6.478, 5.328], [6.478, 6.478, -5.328]], "species": ["Al", "Al", "Al", "Al", "Al", "Al", "Al", "Al", "Al", "Al", "Al", "Al", "Al", "Al", "Al", "Al", "Al", "Al", "Al", "Al", "Al", "Al", "Al", "Al", "Al", "Al", "Al", "Al", "Al", "Al", "Al", "Al", "Al", "Al", "Al", "Al", "Al", "Al", "Al", "Al", "Al", "Al", "Pd", "Pd", "Pd", "Pd", "Pd", "Pd", "Pd", "Pd", "Pd", "Pd", "Pd", "Pd", "Pd", "Pd", "Pd", "Pd"], "fractional_positions": [[0.013, 0.928, 0.588], [0.065, 0.671, 0.285], [0.075, 0.487, 0.415], [0.075, 0.805, 0.083], [0.114, 0.220, 0.785], [0.140, 0.883, 0.822], [0.160, 0.575, 0.088], [0.171, 0.386, 0.607], [0.176, 0.135, 0.023], [0.182, 0.360, 0.243], [0.222, 0.992, 0.417], [0.280, 0.565, 0.893], [0.305, 0.722, 0.729], [0.347, 0.324, 0.459], [0.365, 0.888, 0.041], [0.375, 0.125, 0.250], [0.383, 0.061, 0.743], [0.388, 0.847, 0.523], [0.428, 0.340, 0.915], [0.439, 0.682, 0.322], [0.492, 0.575, 0.771], [0.508, 0.425, 0.229], [0.561, 0.318, 0.678], [0.572, 0.660, 0.085], [0.612, 0.153, 0.477], [0.617, 0.939, 0.257], [0.625, 0.875, 0.750], [0.635, 0.112, 0.959], [0.653, 0.676, 0.541], [0.695, 0.278, 0.271], [0.720, 0.435, 0.107], [0.778, 0.008, 0.583], [0.818, 0.640, 0.757], [0.824, 0.865, 0.977], [0.829, 0.614, 0.393], [0.840, 0.425, 0.912], [0.860, 0.117, 0.178], [0.886, 0.780, 0.215], [0.925, 0.195, 0.917], [0.925, 0.513, 0.585], [0.935, 0.329, 0.715], [0.987, 0.072, 0.412], [0.069, 0.633, 0.864], [0.090, 0.063, 0.214], [0.133, 0.769, 0.563], [0.269, 0.206, 0.636], [0.294, 0.431, 0.063], [0.349, 0.876, 0.286], [0.376, 0.590, 0.527], [0.437, 0.151, 0.027], [0.563, 0.849, 0.973], [0.624, 0.410, 0.473], [0.651, 0.124, 0.714], [0.706, 0.569, 0.937], [0.731, 0.794, 0.364], [0.867, 0.231, 0.437], [0.910, 0.937, 0.786], [0.931, 0.367, 0.136]], "final_energy_ev_per_atom": -15.329}

***

No. 7
{"formula": "AlPd", "functional": "SCAN", "state": "single point on PBEsol structure", "cell": [[3.040, 0.000, 0.000], [0.000, 3.040, 0.000], [0.000, 0.000, 3.040]], "species": ["Al", "Pd"], "fractional_positions": [[0.000, 0.000, 0.000], [0.500, 0.500, 0.500]], "final_energy_ev_per_atom": -21.296}

***

No. 8
{"formula": "Al2Pd", "functional": "SCAN", "state": "single point on PBEsol structure", "cell": [[0.000, 2.942, 2.942], [2.942, 0.000, 2.942], [2.942, 2.942, 0.000]], "species": ["Al", "Al", "Pd"], "fractional_positions": [[0.250, 0.250, 0.250], [0.750, 0.750, 0.750], [0.000, 0.000, 0.000]], "final_energy_ev_per_atom": -16.857}

***

No. 9
{"formula": "AlPd", "functional": "SCAN", "state": "single point on PBEsol structure", "cell": [[7.789, 4.497, 1.754], [-7.789, 4.497, 1.754], [0.000, -8.994, 1.754]], "species": ["Al", "Al", "Al", "Al", "Al", "Al", "Al", "Al", "Al", "Al", "Al", "Al", "Al", "Pd", "Pd", "Pd", "Pd", "Pd", "Pd", "Pd", "Pd", "Pd", "Pd", "Pd", "Pd", "Pd"], "fractional_positions": [[0.000, 0.000, 0.000], [0.098, 0.253, 0.654], [0.153, 0.402, 0.444], [0.253, 0.654, 0.098], [0.346, 0.902, 0.747], [0.402, 0.444, 0.153], [0.444, 0.153, 0.402], [0.556, 0.847, 0.598], [0.598, 0.556, 0.847], [0.654, 0.098, 0.253], [0.747, 0.346, 0.902], [0.847, 0.598, 0.556], [0.902, 0.747, 0.346], [0.054, 0.343, 0.097], [0.097, 0.054, 0.343], [0.156, 0.599, 0.752], [0.248, 0.844, 0.401], [0.343, 0.097, 0.054], [0.401, 0.248, 0.844], [0.500, 0.500, 0.500], [0.599, 0.752, 0.156], [0.657, 0.903, 0.946], [0.752, 0.156, 0.599], [0.844, 0.401, 0.248], [0.903, 0.946, 0.657], [0.946, 0.657, 0.903]], "final_energy_ev_per_atom": -21.332}

***

No. 10
{"formula": "RbAl2Pd2", "functional": "SCAN", "state": "single point on PBEsol structure", "cell": [[8.018, 0.000, 0.000], [0.000, 8.018, 0.000], [0.000, 0.000, 2.815]], "species": ["Rb", "Rb", "Al", "Al", "Al", "Al", "Pd", "Pd", "Pd", "Pd"], "fractional_positions": [[0.000, 0.000, 0.000], [0.500, 0.500, 0.000], [0.122, 0.378, 0.500], [0.378, 0.878, 0.500], [0.622, 0.122, 0.500], [0.878, 0.622, 0.500], [0.165, 0.665, 0.000], [0.335, 0.165, 0.000], [0.665, 0.835, 0.000], [0.835, 0.335, 0.000]], "final_energy_ev_per_atom": -20.784}

***

No. 11
{"formula": "RbSr2AlPd", "functional": "SCAN", "state": "single point on PBEsol structure", "cell": [[6.091, 0.000, 0.000], [0.000, 6.091, 0.000], [0.000, 0.000, 6.022]], "species": ["Rb", "Sr", "Sr", "Al", "Pd"], "fractional_positions": [[0.000, 0.000, 0.000], [0.000, 0.500, 0.500], [0.500, 0.000, 0.500], [0.000, 0.000, 0.500], [0.500, 0.500, 0.000]], "final_energy_ev_per_atom": -20.565}

***

No. 12
{"formula": "Al2PdRu", "functional": "SCAN", "state": "single point on PBEsol structure", "cell": [[0.000, 2.995, 2.995], [2.995, 0.000, 2.995], [2.995, 2.995, 0.000]], "species": ["Al", "Al", "Pd", "Ru"], "fractional_positions": [[0.250, 0.250, 0.250], [0.750, 0.750, 0.750], [0.000, 0.000, 0.000], [0.500, 0.500, 0.500]], "final_energy_ev_per_atom": -21.773}

***

Please write out number 9 again, unchanged.
{"formula": "AlPd", "functional": "SCAN", "state": "single point on PBEsol structure", "cell": [[7.789, 4.497, 1.754], [-7.789, 4.497, 1.754], [0.000, -8.994, 1.754]], "species": ["Al", "Al", "Al", "Al", "Al", "Al", "Al", "Al", "Al", "Al", "Al", "Al", "Al", "Pd", "Pd", "Pd", "Pd", "Pd", "Pd", "Pd", "Pd", "Pd", "Pd", "Pd", "Pd", "Pd"], "fractional_positions": [[0.000, 0.000, 0.000], [0.098, 0.253, 0.654], [0.153, 0.402, 0.444], [0.253, 0.654, 0.098], [0.346, 0.902, 0.747], [0.402, 0.444, 0.153], [0.444, 0.153, 0.402], [0.556, 0.847, 0.598], [0.598, 0.556, 0.847], [0.654, 0.098, 0.253], [0.747, 0.346, 0.902], [0.847, 0.598, 0.556], [0.902, 0.747, 0.346], [0.054, 0.343, 0.097], [0.097, 0.054, 0.343], [0.156, 0.599, 0.752], [0.248, 0.844, 0.401], [0.343, 0.097, 0.054], [0.401, 0.248, 0.844], [0.500, 0.500, 0.500], [0.599, 0.752, 0.156], [0.657, 0.903, 0.946], [0.752, 0.156, 0.599], [0.844, 0.401, 0.248], [0.903, 0.946, 0.657], [0.946, 0.657, 0.903]], "final_energy_ev_per_atom": -21.332}

***

What did the third record say?
{"formula": "ZrAlPb2", "functional": "SCAN", "state": "single point on PBEsol structure", "cell": [[3.841, 0.000, 0.000], [0.000, 3.841, 0.000], [0.000, 0.000, 6.192]], "species": ["Zr", "Al", "Pb", "Pb"], "fractional_positions": [[0.000, 0.000, 0.000], [0.000, 0.000, 0.500], [0.500, 0.500, 0.252], [0.500, 0.500, 0.748]], "final_energy_ev_per_atom": -47.579}